This record from Alexandria via LeMat-Bulk describes a relaxed SmScH crystal. The functional is PBE-GGA.

a = 3.490 Å, b = 3.490 Å, c = 5.514 Å
α = 90.00°, β = 90.00°, γ = 120.00°
Atoms (fractional coordinates):
H 0.333 0.667 0.646
Sc 0.667 0.333 0.435
Sm 0.000 0.000 0.919

Calculated values
DOS(E_F)	1.044	states/eV/atom
space-group type	P3m1 (156)
DFT total energy	-15.0	eV/cell